A relaxed CsLiInAs2 crystal. Source: the Alexandria database, functional PBE.

abc: 7.327 7.327 11.602
angles: 118.17 118.17 33.81
Positions (direct):
Cs 0.175 0.175 0.132
Cs 0.825 0.825 0.868
Li 0.351 0.351 0.576
Li 0.649 0.649 0.424
In 0.028 0.028 0.674
In 0.972 0.972 0.326
As 0.161 0.161 0.568
As 0.469 0.469 0.183
As 0.531 0.531 0.817
As 0.839 0.839 0.432

## Properties
Formation energy from the elements ... -395 meV per atom
Energy ... -3.356 eV/atom
Mass density ... 4.46 g/cm³